Computed, not measured: a geometry-optimized Fe2NiSb structure at the PBE level of DFT.

Formation energy (no corrections) in eV/atom: 0.2136
Density of states at the Fermi level in states/eV per cell: 4.06

abc: 2.874 3.829 5.169
angles: 90.00 90.55 90.00
Space group P2/m (No. 10)
Inequivalent atoms, fractional coordinates:
Fe1 0.005 0.000 0.272 (multiplicity 2)
Ni1 0.500 0.500 0.500 (multiplicity 1)
Sb1 0.500 0.500 0.000 (multiplicity 1)

=====

Computed, not measured: a geometry-optimized Pm2GaI8 structure at the PBE level of DFT.

Formation energy (no corrections) in eV/atom: -0.9684
Density of states at the Fermi level in states/eV per cell: 10.12

abc: 19.729 8.020 7.675
angles: 90.00 97.87 90.00
Space group C2/m (No. 12)
Inequivalent atoms, fractional coordinates:
Pm1 0.148 0.000 0.461 (multiplicity 4)
Ga1 0.000 0.000 0.000 (multiplicity 2)
I1 0.061 0.257 0.252 (multiplicity 8)
I2 0.137 0.000 0.844 (multiplicity 4)
I3 0.209 0.500 0.614 (multiplicity 4)

=====

Computed, not measured: a geometry-optimized CaTaBr2 structure at the PBE level of DFT.

Formation energy (no corrections) in eV/atom: -0.0731
Density of states at the Fermi level in states/eV per cell: 7.60
Energy relative to the lowest polymorph listed for this composition in meV/atom: 342.8

abc: 3.4230 3.4230 30.8727
angles: 90.00 90.00 120.00
Space group R-3m (No. 166, hexagonal axes)
Inequivalent atoms, fractional coordinates:
Ca1 0.0000 0.0000 0.0000 (multiplicity 3)
Ta1 0.0000 0.0000 0.5000 (multiplicity 3)
Br1 0.0000 0.0000 0.2277 (multiplicity 6)

=====

Computed, not measured: a geometry-optimized NaDy2Ga structure at the PBE level of DFT.

Density of states at the Fermi level in states/eV per cell: 2.96
Energy relative to the lowest polymorph listed for this composition in meV/atom: 0.0
ΔH_f (0 K) in eV per atom: -0.16

abc: 3.499 3.499 9.198
angles: 90.00 90.00 90.00
Space group P4/mmm (No. 123)
Inequivalent atoms, fractional coordinates:
Na1 0.000 0.000 0.000 (multiplicity 1)
Dy1 0.500 0.500 0.304 (multiplicity 2)
Ga1 0.000 0.000 0.500 (multiplicity 1)

=====

Computed, not measured: a geometry-optimized Ce2Er2Ge2C structure at the PBE level of DFT.

Density of states at the Fermi level in states/eV per cell: 25.55
ΔH_f (0 K) in eV per atom: -0.60

abc: 4.694 4.694 15.574
angles: 90.00 90.00 90.00
Space group I4/mmm (No. 139)
Inequivalent atoms, fractional coordinates:
Ce1 0.000 0.000 0.167 (multiplicity 4)
Er1 0.000 0.500 0.000 (multiplicity 4)
Ge1 0.000 0.000 0.367 (multiplicity 4)
C1 0.000 0.000 0.000 (multiplicity 2)

=====

Computed, not measured: a geometry-optimized TbHg structure at the PBE level of DFT.

Density of states at the Fermi level in states/eV per cell: 9.72
ΔH_f (0 K) in eV per atom: -0.25

abc: 6.172 6.172 6.172
angles: 90.00 90.00 90.00
Space group Fm-3m (No. 225)
Inequivalent atoms, fractional coordinates:
Tb1 0.000 0.000 0.000 (multiplicity 4)
Hg1 0.000 0.000 0.500 (multiplicity 4)

=====

Computed, not measured: a geometry-optimized InCu6 structure at the PBE level of DFT.

Density of states at the Fermi level in states/eV per cell: 1.10
Energy relative to the lowest polymorph listed for this composition in meV/atom: 781.0
ΔH_f (0 K) in eV per atom: 0.87

abc: 5.659 5.659 5.659
angles: 90.00 90.00 90.00
Space group Pm-3m (No. 221)
Inequivalent atoms, fractional coordinates:
In1 0.000 0.000 0.000 (multiplicity 1)
Cu1 0.201 0.500 0.500 (multiplicity 6)

=====

Computed, not measured: a geometry-optimized Mg2GeIr structure at the PBE level of DFT.

Density of states at the Fermi level in states/eV per cell: 3.58
ΔH_f (0 K) in eV per atom: -0.32

abc: 9.306 4.692 8.975
angles: 90.00 121.21 90.00
Space group C2/c (No. 15)
Inequivalent atoms, fractional coordinates:
Mg1 0.176 0.124 0.101 (multiplicity 8)
Ge1 0.000 0.374 0.250 (multiplicity 4)
Ir1 0.000 0.126 0.750 (multiplicity 4)

=====

Number 1: DFT total energy -6.49 eV/atom, spin magnetization 5.5 μB per formula unit, density 8.5 Mg/m³. Number 2: DFT total energy -3.23 eV/atom, spin magnetization 0.0 μB per formula unit, density 3.8 Mg/m³. Number 3: DFT total energy -4.37 eV/atom, spin magnetization 0.0 μB per formula unit, density 6.1 Mg/m³. Number 4: DFT total energy -3.54 eV/atom, spin magnetization 0.0 μB per formula unit, density 6.2 Mg/m³. Number 5: DFT total energy -6.24 eV/atom, spin magnetization 1.8 μB per formula unit, density 7.5 Mg/m³. Number 6: DFT total energy -2.71 eV/atom, spin magnetization 0.0 μB per formula unit, density 10.2 Mg/m³. Number 7: DFT total energy -3.03 eV/atom, spin magnetization 0.0 μB per formula unit, density 4.5 Mg/m³. Number 8: DFT total energy -4.48 eV/atom, spin magnetization 0.0 μB per formula unit, density 6.2 Mg/m³.